(1)
A geometry-optimized Li2PuIr structure. Source: the Alexandria database, functional PBE.

- Fermi-level density of states: 12.81 states/eV per cell
- ΔE_f: 0.117 eV per atom
- V: 184.7 Å³ per cell

Cell lengths 2.6442, 2.6442, 30.4996 Å; angles 90.00, 90.00, 120.00 degrees
Space group R-3m (No. 166, hexagonal axes)
Symmetry-distinct sites (fractional):
Li: 0.0000 0.0000 0.0960 [6 per cell]
Pu: 0.0000 0.0000 0.0000 [3 per cell]
Ir: 0.0000 0.0000 0.5000 [3 per cell]

***

(2)
A geometry-optimized Ca3Np2NbN6 structure. Source: the Alexandria database, functional PBE.

- Fermi-level density of states: 28.66 states/eV per cell
- E_form (uncorrected): -13.874 eV per formula unit
- V: 336.1 Å³ per cell

Cell lengths 5.862, 10.157, 5.972 Å; angles 90.00, 109.04, 90.00 degrees
Space group C2/m (No. 12)
Symmetry-distinct sites (fractional):
Ca: 0.000 0.000 0.000 [2 per cell]
Ca: 0.000 0.337 0.000 [4 per cell]
Np: 0.000 0.167 0.500 [4 per cell]
Nb: 0.000 0.500 0.500 [2 per cell]
N: 0.233 0.338 0.714 [8 per cell]
N: 0.248 0.000 0.714 [4 per cell]

***

(3)
A geometry-optimized Mn2FeH2 structure. Source: the Alexandria database, functional PBE.

- Fermi-level density of states: 8.19 states/eV per cell
- V: 81.3 Å³ per cell
- Energy: -66.2 eV for the cell shown

Cell lengths 2.960, 2.960, 9.277 Å; angles 90.00, 90.00, 90.00 degrees
Space group I4/mmm (No. 139)
Symmetry-distinct sites (fractional):
Mn: 0.000 0.000 0.150 [4 per cell]
Fe: 0.000 0.000 0.500 [2 per cell]
H: 0.000 0.500 0.250 [4 per cell]

***

(4)
A geometry-optimized SrLiAc2Hg4 structure. Source: the Alexandria database, functional PBE.

- Fermi-level density of states: 17.98 states/eV per cell
- ΔE_f: -0.448 eV per atom
- V: 727.4 Å³ per cell

Cell lengths 5.5417, 5.5417, 27.3493 Å; angles 90.00, 90.00, 120.00 degrees
Space group R-3m (No. 166, hexagonal axes)
Symmetry-distinct sites (fractional):
Sr: 0.0000 0.0000 0.0000 [3 per cell]
Li: 0.0000 0.0000 0.5000 [3 per cell]
Ac: 0.0000 0.0000 0.2454 [6 per cell]
Hg: 0.0000 0.0000 0.1256 [6 per cell]
Hg: 0.0000 0.0000 0.3780 [6 per cell]